Entry i
Compound: NdErNiPd
Source: Alexandria
Functional: GGA-PBE
Structure: relaxed Values from VASP.

Cell and atoms, written as Quantum ESPRESSO input:
```
&SYSTEM
  ibrav = 0, nat = 4, ntyp = 4
/
ATOMIC_SPECIES
Nd 144.24 Nd.upf
Er 167.26 Er.upf
Ni 58.69 Ni.upf
Pd 106.42 Pd.upf
ATOMIC_POSITIONS angstrom
Nd 0.000 0.000 0.000
Er 3.500 3.500 3.500
Ni 1.750 1.750 1.750
Pd 5.249 5.249 5.249
CELL_PARAMETERS angstrom
0.000 3.500 3.500
3.500 0.000 3.500
3.500 3.500 0.000
```

- Calculated volume: 21.43 Å³ per atom
- SG: F-43m (216)

=====

Entry ii
Compound: NdErNiPd
Source: Alexandria
Functional: GGA-PBE
Structure: relaxed Values from VASP.

Cell and atoms, written as Quantum ESPRESSO input:
```
&SYSTEM
  ibrav = 0, nat = 4, ntyp = 4
/
ATOMIC_SPECIES
Nd 144.24 Nd.upf
Er 167.26 Er.upf
Ni 58.69 Ni.upf
Pd 106.42 Pd.upf
ATOMIC_POSITIONS angstrom
Nd 0.000 0.000 0.000
Er 2.240 0.000 7.460
Ni 0.000 0.000 2.853
Pd 2.240 0.000 4.480
CELL_PARAMETERS angstrom
4.479 0.000 0.000
0.000 1.910 5.170
0.000 -1.910 5.170
```

- Calculated volume: 22.11 Å³ per atom
- SG: Amm2 (38)

=====

Which one is the least stable? From the structures above, entry i.